1.
VASP calculation (PBE-GGA) on a relaxed Sm2B2O5 crystal.

a = 3.641 Å, b = 3.641 Å, c = 9.157 Å
α = 90.00°, β = 90.00°, γ = 90.00°
Space group P4/mmm (No. 123)
Asymmetric unit:
Sm: 0.000 0.000 0.246
B: 0.500 0.500 0.000
B: 0.500 0.500 0.500
O: 0.000 0.000 0.000
O: 0.000 0.500 0.381

***

2.
VASP calculation (PBE-GGA) on a relaxed Sm2B2O5 crystal.

a = 3.575 Å, b = 3.575 Å, c = 6.840 Å
α = 90.00°, β = 90.00°, γ = 90.00°
Space group P4/mmm (No. 123)
Asymmetric unit:
Sm: 0.000 0.000 0.000
Sm: 0.000 0.000 0.500
B: 0.500 0.500 0.229
O: 0.000 0.500 0.251
O: 0.500 0.500 0.000

***

3.
VASP calculation (PBE-GGA) on a relaxed ZnSn2B2O6 crystal.

a = 9.068 Å, b = 5.232 Å, c = 6.147 Å
α = 90.00°, β = 119.15°, γ = 90.00°
Space group C2/m (No. 12)
Asymmetric unit:
Zn: 0.000 0.000 0.000
Sn: 0.203 0.000 0.686
B: 0.036 0.500 0.772
O: 0.059 0.277 0.265
O: 0.204 0.500 0.849

***

4.
VASP calculation (PBE-GGA) on a relaxed TaBO4 crystal.

a = 4.611 Å, b = 4.611 Å, c = 7.462 Å
α = 90.00°, β = 90.00°, γ = 90.00°
Space group I-4 (No. 82)
Asymmetric unit:
Ta: 0.000 0.000 0.000
B: 0.000 0.500 0.750
O: 0.161 0.293 0.861

***

5.
VASP calculation (PBE-GGA) on a relaxed TaBO3 crystal.

a = 4.8184 Å, b = 4.8184 Å, c = 15.1151 Å
α = 90.00°, β = 90.00°, γ = 120.00°
Space group R-3c (No. 167, hexagonal axes)
Asymmetric unit:
Ta: 0.0000 0.0000 0.0000
B: 0.0000 0.0000 0.2500
O: 0.0000 0.2877 0.2500

***

6.
VASP calculation (PBE-GGA) on a relaxed Ta2B2O5 crystal.

a = 3.925 Å, b = 3.925 Å, c = 7.332 Å
α = 90.00°, β = 90.00°, γ = 90.00°
Space group P4/mmm (No. 123)
Asymmetric unit:
Ta: 0.000 0.000 0.232
B: 0.500 0.500 0.000
B: 0.500 0.500 0.500
O: 0.000 0.000 0.500
O: 0.000 0.500 0.225

***

7.
VASP calculation (PBE-GGA) on a relaxed Ta2B2O5 crystal.

a = 3.108 Å, b = 3.108 Å, c = 9.346 Å
α = 90.00°, β = 90.00°, γ = 90.00°
Space group P4/mmm (No. 123)
Asymmetric unit:
Ta: 0.000 0.000 0.000
Ta: 0.000 0.000 0.500
B: 0.500 0.500 0.189
O: 0.000 0.500 0.159
O: 0.500 0.500 0.500

***

8.
VASP calculation (PBE-GGA) on a relaxed TbBO5 crystal.

a = 4.174 Å, b = 4.338 Å, c = 4.991 Å
α = 110.88°, β = 107.40°, γ = 91.68°
Space group P1 (No. 1)
Asymmetric unit:
Tb: 0.000 0.000 0.000
B: 0.715 0.521 0.278
O: 0.210 0.223 0.610
O: 0.310 0.533 0.732
O: 0.555 0.194 0.165
O: 0.688 0.766 0.526
O: 0.935 0.566 0.129

***

9.
VASP calculation (PBE-GGA) on a relaxed Tb2BO4 crystal.

a = 8.610 Å, b = 8.610 Å, c = 8.610 Å
α = 90.00°, β = 90.00°, γ = 90.00°
Space group Fd-3m (No. 227, origin choice 2)
Asymmetric unit:
Tb: 0.000 0.000 0.000
B: 0.125 0.125 0.625
O: 0.022 0.022 0.728

***

10.
VASP calculation (PBE-GGA) on a relaxed TbTmB2O6 crystal.

a = 4.9671 Å, b = 4.9671 Å, c = 16.1483 Å
α = 90.00°, β = 90.00°, γ = 120.00°
Space group R-3 (No. 148, hexagonal axes)
Asymmetric unit:
Tb: 0.0000 0.0000 0.0000
Tm: 0.0000 0.0000 0.5000
B: 0.0000 0.0000 0.2488
O: 0.0085 0.7262 0.2491

***

11.
VASP calculation (PBE-GGA) on a relaxed TbZnB5O10 crystal.

a = 8.524 Å, b = 7.585 Å, c = 12.235 Å
α = 90.00°, β = 130.21°, γ = 90.00°
Space group P2_1/c (No. 14)
Asymmetric unit:
Tb: 0.056 0.183 0.239
Zn: 0.478 0.590 0.872
B: 0.085 0.675 0.605
B: 0.150 0.601 0.992
B: 0.278 0.032 0.055
B: 0.338 0.575 0.257
B: 0.478 0.189 0.913
O: 0.022 0.730 0.979
O: 0.096 0.108 0.918
O: 0.114 0.553 0.872
O: 0.190 0.706 0.229
O: 0.232 0.527 0.649
O: 0.307 0.533 0.125
O: 0.312 0.092 0.803
O: 0.326 0.627 0.509
O: 0.421 0.150 0.429
O: 0.455 0.149 0.137

***

12.
VASP calculation (PBE-GGA) on a relaxed ZrTl2B2O6 crystal.

a = 5.3579 Å, b = 5.3579 Å, c = 18.1041 Å
α = 90.00°, β = 90.00°, γ = 120.00°
Space group R-3m (No. 166, hexagonal axes)
Asymmetric unit:
Zr: 0.0000 0.0000 0.0000
Tl: 0.0000 0.0000 0.2103
B: 0.0000 0.0000 0.3999
O: 0.0357 0.5178 0.2660

***

13.
VASP calculation (PBE-GGA) on a relaxed TmBO3 crystal.

a = 4.768 Å, b = 4.768 Å, c = 7.122 Å
α = 90.00°, β = 90.00°, γ = 90.00°
Space group I4/mcm (No. 140)
Asymmetric unit:
Tm: 0.000 0.500 0.250
B: 0.000 0.000 0.000
O: 0.000 0.000 0.250
O: 0.210 0.290 0.000

***

14.
VASP calculation (PBE-GGA) on a relaxed TmBO3 crystal.

a = 6.4855 Å, b = 6.4855 Å, c = 8.5802 Å
α = 90.00°, β = 90.00°, γ = 120.00°
Space group P6_3/mcm (No. 193)
Asymmetric unit:
Tm: 0.0000 0.0000 0.0000
Tm: 0.3333 0.6667 0.0000
B: 0.0000 0.4028 0.2500
O: 0.0000 0.3146 0.1018
O: 0.0000 0.3901 0.7500

***

15.
VASP calculation (PBE-GGA) on a relaxed Tm2BO4 crystal.

a = 8.457 Å, b = 8.457 Å, c = 8.457 Å
α = 90.00°, β = 90.00°, γ = 90.00°
Space group Fd-3m (No. 227, origin choice 2)
Asymmetric unit:
Tm: 0.000 0.000 0.000
B: 0.125 0.125 0.625
O: 0.020 0.020 0.730

***

16.
VASP calculation (PBE-GGA) on a relaxed Zn2B2O5 crystal.

a = 3.293 Å, b = 3.293 Å, c = 6.517 Å
α = 90.00°, β = 90.00°, γ = 90.00°
Space group P4/mmm (No. 123)
Asymmetric unit:
Zn: 0.000 0.000 0.000
Zn: 0.000 0.000 0.500
B: 0.500 0.500 0.223
O: 0.000 0.500 0.280
O: 0.500 0.500 0.000

***

17.
VASP calculation (PBE-GGA) on a relaxed ZnB4O7 crystal.

a = 10.813 Å, b = 6.476 Å, c = 5.166 Å
α = 90.00°, β = 90.00°, γ = 90.00°
Space group Cmcm (No. 63)
Asymmetric unit:
Zn: 0.000 0.234 0.250
B: 0.117 0.192 0.750
B: 0.203 0.500 0.000
O: 0.000 0.078 0.750
O: 0.128 0.317 0.522
O: 0.220 0.023 0.750

***

18.
VASP calculation (PBE-GGA) on a relaxed Zn2B2O5 crystal.

a = 3.297 Å, b = 3.297 Å, c = 8.098 Å
α = 90.00°, β = 90.00°, γ = 90.00°
Space group P4/mmm (No. 123)
Asymmetric unit:
Zn: 0.000 0.000 0.239
B: 0.500 0.500 0.000
B: 0.500 0.500 0.500
O: 0.000 0.000 0.000
O: 0.000 0.500 0.367

***

| no. | V (Å³ per cell) | final energy (eV for the cell shown) |
| --- | --- | --- |
| 1 | 121 | -53.96 |
| 2 | 87 | -64.93 |
| 3 | 255 | -141.67 |
| 4 | 159 | -106.67 |
| 5 | 304 | -260.12 |
| 6 | 113 | -68.99 |
| 7 | 90 | -69.40 |
| 8 | 80 | -50.09 |
| 9 | 638 | -432.10 |
| 10 | 345 | -249.87 |
| 11 | 604 | -526.20 |
| 12 | 450 | -242.67 |
| 13 | 162 | -150.13 |
| 14 | 313 | -239.44 |
| 15 | 605 | -434.26 |
| 16 | 71 | -49.36 |
| 17 | 362 | -357.05 |
| 18 | 88 | -38.73 |